A relaxed Th3TaPt12 crystal. Source: Alexandria, functional PBE.

Lattice parameters (Å, degrees): 4.1976 4.1976 16.5732 90.00 90.00 90.00
Space group P4/mmm (No. 123)
Unique sites:
1 Th 0.0000 0.0000 0.0000 (multiplicity 1)
2 Th 0.0000 0.0000 0.2575 (multiplicity 2)
3 Ta 0.0000 0.0000 0.5000 (multiplicity 1)
4 Pt 0.0000 0.5000 0.1287 (multiplicity 4)
5 Pt 0.0000 0.5000 0.3879 (multiplicity 4)
6 Pt 0.5000 0.5000 0.0000 (multiplicity 1)
7 Pt 0.5000 0.5000 0.2587 (multiplicity 2)
8 Pt 0.5000 0.5000 0.5000 (multiplicity 1)

Results
- Calculated volume: 292.0 Å³/cell
- Calculated formation energy: -936 meV per atom